A plane-wave DFT calculation with GGA-PBE was carried out for a relaxed NpPaW crystal.

a = 4.5485 Å, b = 4.5485 Å, c = 4.5485 Å
α = 60.00°, β = 60.00°, γ = 60.00°
Fractional positions:
Np 0.2500 0.2500 0.2500
Pa 0.0000 0.0000 0.0000
W 0.7500 0.7500 0.7500

Calculated values
E: -32.5 eV per cell
ΔE_f: 904 meV/atom
Total magnetization: 2.5 μB/cell